No. 1
Entry from Alexandria: a crystal of Mg2InNi2 relaxed with PBEsol (SCAN).

extended XYZ file:
```
10
Lattice="-0.430 3.542 1.231 -6.410 -1.022 0.701 0.991 -2.011 6.131" Properties=species:S:1:pos:R:3 pbc="T T T"
Ni -1.514 -2.130 5.600
Ni -4.959 -2.155 4.468
Ni -3.904 -0.902 1.233
Ni -0.460 -0.878 2.365
Mg -0.602 0.272 4.794
Mg -5.247 0.238 3.270
Mg -2.215 1.099 1.850
Mg -3.634 -0.590 6.213
In 0.000 0.000 0.000
In -2.709 -1.516 3.416
```

Computed properties:
The magnetic moment comes out at 0.00 μB/f.u. The electronic total energy comes out at -152.96 eV per cell. The energy of formation from the pure elements comes out at -0.802 eV/f.u. The space-group type is P4/mbm (127).



No. 2
Entry from Alexandria: a crystal of MgInOs relaxed with PBEsol (SCAN).

extended XYZ file:
```
3
Lattice="-2.200 0.732 -1.741 0.581 -2.841 -0.025 -3.629 0.100 6.092" Properties=species:S:1:pos:R:3 pbc="T T T"
In -5.165 -1.990 4.228
Mg -2.403 -1.397 0.987
Os -2.929 -0.629 3.437
```

Computed properties:
The magnetic moment comes out at 0.00 μB/f.u. The electronic total energy comes out at -109.00 eV per cell. The energy of formation from the pure elements comes out at 1.242 eV/f.u. The space-group type is Fmm2 (42).



No. 3
Entry from Alexandria: a crystal of Mg2InOs relaxed with PBEsol (SCAN).

extended XYZ file:
```
4
Lattice="-3.573 2.447 1.578 -1.694 -0.843 4.203 0.620 3.059 3.391" Properties=species:S:1:pos:R:3 pbc="T T T"
In -2.323 2.332 4.586
Mg -1.162 1.166 2.293
Mg 0.000 0.000 0.000
Os -3.485 3.498 6.878
```

Computed properties:
The magnetic moment comes out at 0.00 μB/f.u. The electronic total energy comes out at -115.04 eV per cell. The energy of formation from the pure elements comes out at 0.173 eV/f.u. The space-group type is F-43m (216).



No. 4
Entry from Alexandria: a crystal of MgInOs2 relaxed with PBEsol (SCAN).

extended XYZ file:
```
4
Lattice="2.917 0.000 0.000 0.000 4.893 -0.010 0.000 -1.928 4.497" Properties=species:S:1:pos:R:3 pbc="T T T"
In 1.458 0.000 0.000
Os 0.000 -0.964 2.249
Os 0.000 2.447 -0.005
Mg 1.458 1.483 2.244
```

Computed properties:
The magnetic moment comes out at 0.00 μB/f.u. The electronic total energy comes out at -180.15 eV per cell. The energy of formation from the pure elements comes out at 1.969 eV/f.u. The space-group type is Cmmm (65).



No. 5
Entry from Alexandria: a crystal of Mg2InOs relaxed with PBEsol (SCAN).

extended XYZ file:
```
4
Lattice="-0.289 -0.337 -2.795 4.730 0.226 -0.517 0.311 -5.156 0.589" Properties=species:S:1:pos:R:3 pbc="T T T"
In 2.292 -1.250 -1.520
Os 0.022 -2.927 -1.082
Mg 2.585 -3.531 0.158
Mg 0.008 -0.136 0.016
```

Computed properties:
The magnetic moment comes out at 0.00 μB/f.u. The electronic total energy comes out at -114.80 eV per cell. The energy of formation from the pure elements comes out at 0.411 eV/f.u. The space-group type is Pmm2 (25).



No. 6
Entry from Alexandria: a crystal of MgInOs2 relaxed with PBEsol (SCAN).

extended XYZ file:
```
4
Lattice="-0.134 -2.660 -0.861 4.785 -0.331 1.495 -3.706 0.226 3.821" Properties=species:S:1:pos:R:3 pbc="T T T"
In -0.067 -1.330 -0.431
Os 0.473 -1.383 2.227
Os -1.853 0.113 1.910
Mg 2.393 -0.166 0.747
```

Computed properties:
The magnetic moment comes out at 0.01 μB/f.u. The electronic total energy comes out at -180.33 eV per cell. The energy of formation from the pure elements comes out at 1.786 eV/f.u. The space-group type is C2/m (12).



No. 7
Entry from Alexandria: a crystal of MgInP2 relaxed with PBEsol (SCAN).

extended XYZ file:
```
4
Lattice="4.692 0.000 0.000 2.346 4.063 0.000 2.346 1.354 3.831" Properties=species:S:1:pos:R:3 pbc="T T T"
Mg 4.692 2.709 1.915
P 7.038 4.063 2.873
P 2.346 1.354 0.958
In 0.000 0.000 0.000
```

Computed properties:
The magnetic moment comes out at 0.00 μB/f.u. The electronic total energy comes out at -58.27 eV per cell. The energy of formation from the pure elements comes out at 0.892 eV/f.u. The space-group type is Fm-3m (225).



No. 8
Entry from Alexandria: a crystal of MgInP2 relaxed with PBEsol (SCAN).

extended XYZ file:
```
4
Lattice="2.970 0.000 0.000 0.000 4.948 0.000 0.000 0.000 4.948" Properties=species:S:1:pos:R:3 pbc="T T T"
P 0.000 2.474 0.000
P 0.000 0.000 2.474
Mg 1.485 0.000 0.000
In 1.485 2.474 2.474
```

Computed properties:
The magnetic moment comes out at 0.00 μB/f.u. The electronic total energy comes out at -58.60 eV per cell. The energy of formation from the pure elements comes out at 0.558 eV/f.u. The space-group type is P4/mmm (123).